No. 1
## InPPt6Pb2 (PBE-GGA)

Data for InPPt6Pb2 after structural relaxation.

The calculation puts the formation energy at -0.24 eV/atom. As for the total magnetic moment: 0.00 μB per formula unit. Its crystal system is orthorhombic.

Cell lengths 5.5979, 8.8185, 8.4030 Å; angles 90.00, 90.00, 90.00 degrees
Element x y z (fractional)
1 In 0.2500 0.2500 0.2039
2 In 0.7500 0.7500 0.7961
3 P 0.2500 0.7500 0.2843
4 P 0.7500 0.2500 0.7157
5 Pt 0.0035 0.2500 0.9308
6 Pt 0.0070 0.2500 0.4913
7 Pt 0.2500 0.5034 0.4003
8 Pt 0.2500 0.9966 0.4003
9 Pt 0.4930 0.2500 0.4913
10 Pt 0.4965 0.2500 0.9308
11 Pt 0.5035 0.7500 0.0692
12 Pt 0.5070 0.7500 0.5087
13 Pt 0.7500 0.0034 0.5997
14 Pt 0.7500 0.4966 0.5997
15 Pt 0.9930 0.7500 0.5087
16 Pt 0.9965 0.7500 0.0692
17 Pb 0.2500 0.5186 0.7895
18 Pb 0.2500 0.9814 0.7895
19 Pb 0.7500 0.0186 0.2105
20 Pb 0.7500 0.4814 0.2105



No. 2
## Li14InSn (PBE-GGA)

Data for Li14InSn after structural relaxation.

The calculation puts the formation energy at -0.15 eV/atom. As for the total magnetic moment: 0.00 μB per formula unit. Its crystal system is tetragonal.

Cell lengths 6.9204, 6.9204, 6.3063 Å; angles 90.00, 90.00, 90.00 degrees
Element x y z (fractional)
1 Li 0.0000 0.0000 0.0000
2 Li 0.0000 0.5000 0.0000
3 Li 0.0000 0.5000 0.5000
4 Li 0.2490 0.2490 0.2649
5 Li 0.2490 0.2490 0.7351
6 Li 0.2490 0.7510 0.2649
7 Li 0.2490 0.7510 0.7351
8 Li 0.5000 0.0000 0.0000
9 Li 0.5000 0.0000 0.5000
10 Li 0.5000 0.5000 0.0000
11 Li 0.7510 0.2490 0.2649
12 Li 0.7510 0.2490 0.7351
13 Li 0.7510 0.7510 0.2649
14 Li 0.7510 0.7510 0.7351
15 In 0.5000 0.5000 0.5000
16 Sn 0.0000 0.0000 0.5000



No. 3
## Zn6AgPt5 (PBE-GGA)

Data for Zn6AgPt5 after structural relaxation.

The calculation puts the formation energy at -0.48 eV/atom. As for the total magnetic moment: 0.00 μB per formula unit. Its crystal system is orthorhombic.

Cell lengths 6.4571, 6.4571, 7.1036 Å; angles 90.00, 90.00, 143.08 degrees
Element x y z (fractional)
1 Zn 0.0000 0.0000 0.2436
2 Zn 0.0000 0.0000 0.7564
3 Zn 0.3303 0.6697 0.2462
4 Zn 0.3303 0.6697 0.7538
5 Zn 0.6697 0.3303 0.2462
6 Zn 0.6697 0.3303 0.7538
7 Ag 0.5000 0.5000 0.5000
8 Pt 0.1659 0.8341 0.0000
9 Pt 0.1656 0.8344 0.5000
10 Pt 0.5000 0.5000 0.0000
11 Pt 0.8341 0.1659 0.0000
12 Pt 0.8344 0.1656 0.5000



No. 4
## U5Bi3Te12 (PBE-GGA)

Data for U5Bi3Te12 after structural relaxation.

The uncorrected formation energy comes out at -0.077 eV per atom. As for the total magnetic moment: 14.99 μB per formula unit. Its crystal system is cubic.

Cell lengths 15.9882, 15.9882, 15.9882 Å; angles 109.47, 109.47, 109.47 degrees
Element x y z (fractional)
1 U 0.0000 0.0000 0.0000
2 U 0.0000 0.0000 0.5000
3 U 0.0000 0.5000 0.0000
4 U 0.0000 0.5000 0.5000
5 U 0.1250 0.7500 0.8750
6 U 0.1250 0.8750 0.2500
7 U 0.2500 0.1250 0.8750
8 U 0.2500 0.6250 0.3750
9 U 0.3750 0.2500 0.6250
10 U 0.3750 0.6250 0.7500
11 U 0.5000 0.0000 0.0000
12 U 0.5000 0.0000 0.5000
13 U 0.5000 0.5000 0.0000
14 U 0.5000 0.5000 0.5000
15 U 0.6250 0.3750 0.2500
16 U 0.6250 0.7500 0.3750
17 U 0.7500 0.3750 0.6250
18 U 0.7500 0.8750 0.1250
19 U 0.8750 0.1250 0.7500
20 U 0.8750 0.2500 0.1250
21 Bi 0.1250 0.2500 0.3750
22 Bi 0.1250 0.3750 0.7500
23 Bi 0.2500 0.3750 0.1250
24 Bi 0.2500 0.8750 0.6250
25 Bi 0.3750 0.1250 0.2500
26 Bi 0.3750 0.7500 0.1250
27 Bi 0.6250 0.2500 0.8750
28 Bi 0.6250 0.8750 0.7500
29 Bi 0.7500 0.1250 0.3750
30 Bi 0.7500 0.6250 0.8750
31 Bi 0.8750 0.6250 0.2500
32 Bi 0.8750 0.7500 0.6250
33 Te 0.0481 0.2218 0.1201
34 Te 0.0481 0.3263 0.9280
35 Te 0.0720 0.6201 0.3984
36 Te 0.0720 0.9519 0.6737
37 Te 0.1016 0.7218 0.6737
38 Te 0.1016 0.8799 0.4280
39 Te 0.1201 0.0481 0.2218
40 Te 0.1201 0.5720 0.8984
41 Te 0.1737 0.2218 0.6016
42 Te 0.1737 0.4519 0.5720
43 Te 0.2218 0.1201 0.0481
44 Te 0.2218 0.6016 0.1737
45 Te 0.2782 0.3263 0.8984
46 Te 0.2782 0.4519 0.3799
47 Te 0.3263 0.8984 0.2782
48 Te 0.3263 0.9280 0.0481
49 Te 0.3799 0.2782 0.4519
50 Te 0.3799 0.6016 0.9280
51 Te 0.3984 0.0720 0.6201
52 Te 0.3984 0.8263 0.7782
53 Te 0.4280 0.1016 0.8799
54 Te 0.4280 0.8263 0.5481
55 Te 0.4519 0.3799 0.2782
56 Te 0.4519 0.5720 0.1737
57 Te 0.5481 0.4280 0.8263
58 Te 0.5481 0.6201 0.7218
59 Te 0.5720 0.1737 0.4519
60 Te 0.5720 0.8984 0.1201
61 Te 0.6016 0.1737 0.2218
62 Te 0.6016 0.9280 0.3799
63 Te 0.6201 0.3984 0.0720
64 Te 0.6201 0.7218 0.5481
65 Te 0.6737 0.0720 0.9519
66 Te 0.6737 0.1016 0.7218
67 Te 0.7218 0.5481 0.6201
68 Te 0.7218 0.6737 0.1016
69 Te 0.7782 0.3984 0.8263
70 Te 0.7782 0.8799 0.9519
71 Te 0.8263 0.5481 0.4280
72 Te 0.8263 0.7782 0.3984
73 Te 0.8799 0.4280 0.1016
74 Te 0.8799 0.9519 0.7782
75 Te 0.8984 0.1201 0.5720
76 Te 0.8984 0.2782 0.3263
77 Te 0.9280 0.0481 0.3263
78 Te 0.9280 0.3799 0.6016
79 Te 0.9519 0.6737 0.0720
80 Te 0.9519 0.7782 0.8799